Li2CoNi2O6: optimized geometry, GGA-PBEsol.

The space-group type is Aea2 (41). As for the total energy: -137.78 eV for the cell shown.

The structure in CIF format:
```
data_Li2CoNi2O6
_chemical_formula_sum 'Li4 Co2 Ni4 O12'
_cell_length_a 9.739
_cell_length_b 4.834
_cell_length_c 4.834
_cell_angle_alpha 61.68
_cell_angle_beta 90.00
_cell_angle_gamma 90.00
_space_group_name_H-M_alt 'P 1'
_space_group_IT_number 1
loop_
_space_group_symop_operation_xyz
'x,y,z'
loop_
_atom_site_label
_atom_site_type_symbol
_atom_site_fract_x
_atom_site_fract_y
_atom_site_fract_z
Li1 Li 0.248 0.107 0.893
Li2 Li 0.252 0.607 0.393
Li3 Li 0.748 0.393 0.607
Li4 Li 0.752 0.893 0.107
Co1 Co 0.000 0.253 0.253
Co2 Co 0.500 0.753 0.753
Ni1 Ni 0.000 0.587 0.587
Ni2 Ni 0.000 0.916 0.916
Ni3 Ni 0.500 0.087 0.087
Ni4 Ni 0.500 0.416 0.416
O1 O 0.097 0.580 0.925
O2 O 0.100 0.917 0.250
O3 O 0.107 0.278 0.564
O4 O 0.393 0.778 0.064
O5 O 0.400 0.417 0.750
O6 O 0.403 0.080 0.425
O7 O 0.597 0.425 0.080
O8 O 0.600 0.750 0.417
O9 O 0.607 0.064 0.778
O10 O 0.893 0.564 0.278
O11 O 0.900 0.250 0.917
O12 O 0.903 0.925 0.580
```